No. 1
# VSiMo | Alexandria | PBE | relaxed
# DOS(E_F)   2.5 states/eV/f.u.
# E_form (uncorrected)   -270.3 meV per atom
# Magnetic moment   0.00 μB per cell
# Raw total energy   -8.728 eV per atom
data_VSiMo
_space_group_name_H-M_alt 'P 1'
_space_group_IT_number 1
_cell_length_a 3.236
_cell_length_b 12.236
_cell_length_c 4.256
_cell_angle_alpha 90.00
_cell_angle_beta 90.00
_cell_angle_gamma 90.00
loop_
_space_group_symop_operation_xyz
'x,y,z'
loop_
_atom_site_label
_atom_site_fract_x
_atom_site_fract_y
_atom_site_fract_z
_atom_site_occupancy
V1 0.000 0.068 0.250 1
V2 0.000 0.932 0.750 1
V3 0.500 0.432 0.750 1
V4 0.500 0.568 0.250 1
Si1 0.000 0.407 0.250 1
Si2 0.000 0.593 0.750 1
Si3 0.500 0.093 0.750 1
Si4 0.500 0.907 0.250 1
Mo1 0.000 0.261 0.750 1
Mo2 0.000 0.739 0.250 1
Mo3 0.500 0.239 0.250 1
Mo4 0.500 0.761 0.750 1


No. 2
# Tl2Cr2AsSe6 | Alexandria | PBE | relaxed
# DOS(E_F)   1.2 states/eV/f.u.
# E_form (uncorrected)   -419.9 meV per atom
# Magnetic moment   5.05 μB per cell
# Raw total energy   -4.923 eV per atom
data_Tl2Cr2AsSe6
_space_group_name_H-M_alt 'P 1'
_space_group_IT_number 1
_cell_length_a 6.532
_cell_length_b 6.532
_cell_length_c 7.932
_cell_angle_alpha 97.61
_cell_angle_beta 97.61
_cell_angle_gamma 120.04
loop_
_space_group_symop_operation_xyz
'x,y,z'
loop_
_atom_site_label
_atom_site_fract_x
_atom_site_fract_y
_atom_site_fract_z
_atom_site_occupancy
Tl1 0.162 0.838 0.000 1
Tl2 0.838 0.162 0.000 1
Cr1 0.332 0.668 0.500 1
Cr2 0.668 0.332 0.500 1
As1 0.000 0.000 0.500 1
Se1 0.059 0.404 0.680 1
Se2 0.290 0.290 0.320 1
Se3 0.404 0.059 0.680 1
Se4 0.596 0.941 0.320 1
Se5 0.710 0.710 0.680 1
Se6 0.941 0.596 0.320 1


No. 3
# CdIn4AgHg2 | Alexandria | PBE | relaxed
# DFT formation energy   1.38 kcal/mol of atoms
# DOS(E_F)   4.2 states/eV/f.u.
# Magnetic moment   0.00 μB per cell
# Raw total energy   -1.856 eV per atom
data_CdIn4AgHg2
_space_group_name_H-M_alt 'P 1'
_space_group_IT_number 1
_cell_length_a 8.682
_cell_length_b 8.682
_cell_length_c 6.503
_cell_angle_alpha 111.94
_cell_angle_beta 111.94
_cell_angle_gamma 87.90
loop_
_space_group_symop_operation_xyz
'x,y,z'
loop_
_atom_site_label
_atom_site_fract_x
_atom_site_fract_y
_atom_site_fract_z
_atom_site_occupancy
Cd1 0.000 0.500 0.000 1
Cd2 0.500 0.000 0.500 1
In1 0.229 0.230 0.479 1
In2 0.230 0.229 0.979 1
In3 0.241 0.759 0.000 1
In4 0.241 0.759 0.500 1
In5 0.759 0.241 0.000 1
In6 0.759 0.241 0.500 1
In7 0.770 0.771 0.021 1
In8 0.771 0.770 0.521 1
Ag1 0.000 0.000 0.000 1
Ag2 0.000 0.000 0.500 1
Hg1 0.000 0.500 0.500 1
Hg2 0.500 0.000 0.000 1
Hg3 0.500 0.500 0.000 1
Hg4 0.500 0.500 0.500 1


No. 4
# PRu | Alexandria | PBE | relaxed
# DFT formation energy   -6.25 kcal/mol of atoms
# DOS(E_F)   0.9 states/eV/f.u.
# Magnetic moment   0.00 μB per cell
# E above lowest polymorph   0.290 eV per atom
# Raw total energy   -7.614 eV per atom
data_PRu
_space_group_name_H-M_alt 'P 1'
_space_group_IT_number 1
_cell_length_a 2.899
_cell_length_b 10.422
_cell_length_c 3.644
_cell_angle_alpha 90.00
_cell_angle_beta 90.00
_cell_angle_gamma 90.00
loop_
_space_group_symop_operation_xyz
'x,y,z'
loop_
_atom_site_label
_atom_site_fract_x
_atom_site_fract_y
_atom_site_fract_z
_atom_site_occupancy
P1 0.000 0.166 0.250 1
P2 0.000 0.834 0.750 1
P3 0.500 0.334 0.750 1
P4 0.500 0.666 0.250 1
Ru1 0.000 0.393 0.250 1
Ru2 0.000 0.607 0.750 1
Ru3 0.500 0.107 0.750 1
Ru4 0.500 0.893 0.250 1


Q: What is the DOS(E_F) in the third record?
A: 4.2 states/eV/f.u.


Q: magnetic moment of number 3 (CdIn4AgHg2)?
A: 0.00 μB per cell